{
  "formula": "LuMgIr",
  "functional": "PBE",
  "state": "optimized geometry",
  "lattice_angstrom": [[-2.738, -1.243, -1.340], [1.307, -3.019, 0.128], [-1.463, 1.405, 5.733]],
  "species": ["Mg", "Ir", "Lu"],
  "fractional_positions": [[0.312, 0.312, 0.625], [0.949, 0.949, 0.897], [0.589, 0.589, 0.178]],
  "formation_energy_kj_per_mol_atoms": -51.7
}


{
  "formula": "NdLuMgIr",
  "functional": "PBE",
  "state": "optimized geometry",
  "lattice_angstrom": [[5.063, 0.000, 0.000], [2.532, 4.385, 0.000], [2.532, 1.462, 4.134]],
  "species": ["Mg", "Nd", "Ir", "Lu"],
  "fractional_positions": [[0.500, 0.500, 0.500], [0.250, 0.250, 0.250], [0.000, 0.000, 0.000], [0.750, 0.750, 0.750]],
  "formation_energy_kj_per_mol_atoms": -38.4
}


{
  "formula": "LuMgIrPd",
  "functional": "PBE",
  "state": "optimized geometry",
  "lattice_angstrom": [[-2.096, -3.540, 2.151], [-2.332, -3.164, -2.470], [1.682, -4.305, -0.436]],
  "species": ["Ir", "Mg", "Lu", "Pd"],
  "fractional_positions": [[0.000, 0.000, 0.000], [0.250, 0.250, 0.250], [0.750, 0.750, 0.750], [0.500, 0.500, 0.500]],
  "formation_energy_kj_per_mol_atoms": -75.8
}


{
  "formula": "LuMgIrPt",
  "functional": "PBE",
  "state": "optimized geometry",
  "lattice_angstrom": [[-0.807, 4.561, -0.176], [-4.315, 1.568, -0.642], [-2.247, 2.092, 3.473]],
  "species": ["Lu", "Ir", "Mg", "Pt"],
  "fractional_positions": [[0.000, 0.000, 0.000], [0.250, 0.250, 0.250], [0.500, 0.500, 0.500], [0.750, 0.750, 0.750]],
  "formation_energy_kj_per_mol_atoms": -83.6
}


{
  "formula": "LuMgIrRh",
  "functional": "PBE",
  "state": "optimized geometry",
  "lattice_angstrom": [[-0.619, 3.826, -2.453], [-1.758, -0.246, -4.229], [-4.243, 1.541, -0.813]],
  "species": ["Mg", "Lu", "Rh", "Ir"],
  "fractional_positions": [[0.000, 0.000, 0.000], [0.500, 0.500, 0.500], [0.750, 0.750, 0.750], [0.250, 0.250, 0.250]],
  "formation_energy_kj_per_mol_atoms": -70.7
}


{
  "formula": "LuMgIrRu",
  "functional": "PBE",
  "state": "optimized geometry",
  "lattice_angstrom": [[4.579, 0.000, 0.000], [2.289, 3.966, 0.000], [2.289, 1.322, 3.739]],
  "species": ["Ir", "Ru", "Mg", "Lu"],
  "fractional_positions": [[0.250, 0.250, 0.250], [0.750, 0.750, 0.750], [0.500, 0.500, 0.500], [0.000, 0.000, 0.000]],
  "formation_energy_kj_per_mol_atoms": -38.3
}


{
  "formula": "LuMgScIr",
  "functional": "PBE",
  "state": "optimized geometry",
  "lattice_angstrom": [[-3.695, 2.549, -1.779], [-4.459, -0.688, 1.722], [-2.100, 3.411, 2.696]],
  "species": ["Mg", "Sc", "Lu", "Ir"],
  "fractional_positions": [[0.500, 0.500, 0.500], [0.250, 0.250, 0.250], [0.750, 0.750, 0.750], [0.000, 0.000, 0.000]],
  "formation_energy_kj_per_mol_atoms": -51.3
}


{
  "formula": "LuMgSnIr",
  "functional": "PBE",
  "state": "optimized geometry",
  "lattice_angstrom": [[-0.173, -1.389, -4.545], [-1.201, -4.474, -1.075], [-4.193, -0.909, -2.051]],
  "species": ["Mg", "Lu", "Ir", "Sn"],
  "fractional_positions": [[0.250, 0.250, 0.250], [0.500, 0.500, 0.500], [0.750, 0.750, 0.750], [0.000, 0.000, 0.000]],
  "formation_energy_kj_per_mol_atoms": -47.8
}


{
  "formula": "YLuMgIr",
  "functional": "PBE",
  "state": "optimized geometry",
  "lattice_angstrom": [[-2.025, -4.323, 1.414], [-2.056, -3.012, -3.389], [2.220, -4.295, -1.187]],
  "species": ["Y", "Lu", "Ir", "Mg"],
  "fractional_positions": [[0.750, 0.750, 0.750], [0.250, 0.250, 0.250], [0.000, 0.000, 0.000], [0.500, 0.500, 0.500]],
  "formation_energy_kj_per_mol_atoms": -47.1
}


{
  "formula": "LuMgZnIr",
  "functional": "PBE",
  "state": "optimized geometry",
  "lattice_angstrom": [[-0.392, -1.894, -4.259], [0.714, -4.584, -0.596], [-3.601, -2.819, -0.984]],
  "species": ["Zn", "Ir", "Lu", "Mg"],
  "fractional_positions": [[0.000, 0.000, 0.000], [0.500, 0.500, 0.500], [0.750, 0.750, 0.750], [0.250, 0.250, 0.250]],
  "formation_energy_kj_per_mol_atoms": -45.7
}


{
  "formula": "LuMgZrIr",
  "functional": "PBE",
  "state": "optimized geometry",
  "lattice_angstrom": [[4.844, 0.000, 0.000], [2.422, 4.195, 0.000], [2.422, 1.398, 3.955]],
  "species": ["Zr", "Ir", "Mg", "Lu"],
  "fractional_positions": [[0.250, 0.250, 0.250], [0.000, 0.000, 0.000], [0.500, 0.500, 0.500], [0.750, 0.750, 0.750]],
  "formation_energy_kj_per_mol_atoms": -41.4
}


{
  "formula": "LuMnIr2",
  "functional": "PBE",
  "state": "optimized geometry",
  "lattice_angstrom": [[-1.704, 4.139, -0.772], [-3.180, 1.699, 2.763], [1.018, 3.433, 2.795]],
  "species": ["Ir", "Ir", "Lu", "Mn"],
  "fractional_positions": [[0.250, 0.250, 0.250], [0.750, 0.750, 0.750], [0.500, 0.500, 0.500], [0.000, 0.000, 0.000]],
  "formation_energy_kj_per_mol_atoms": -42.8
}


{
  "formula": "LuPaMnIr",
  "functional": "PBE",
  "state": "optimized geometry",
  "lattice_angstrom": [[4.802, 0.000, 0.000], [2.401, 4.159, 0.000], [2.401, 1.386, 3.921]],
  "species": ["Pa", "Mn", "Lu", "Ir"],
  "fractional_positions": [[0.000, 0.000, 0.000], [0.750, 0.750, 0.750], [0.500, 0.500, 0.500], [0.250, 0.250, 0.250]],
  "formation_energy_kj_per_mol_atoms": -30.5
}


{
  "formula": "LuMnIrPd",
  "functional": "PBE",
  "state": "optimized geometry",
  "lattice_angstrom": [[-4.588, 0.186, -0.026], [-2.443, -3.737, -1.075], [-2.405, -2.183, 3.246]],
  "species": ["Pd", "Ir", "Lu", "Mn"],
  "fractional_positions": [[0.000, 0.000, 0.000], [0.500, 0.500, 0.500], [0.250, 0.250, 0.250], [0.750, 0.750, 0.750]],
  "formation_energy_kj_per_mol_atoms": -52.7
}


{
  "formula": "LuMnIrPt",
  "functional": "PBE",
  "state": "optimized geometry",
  "lattice_angstrom": [[4.593, 0.000, 0.000], [2.296, 3.977, 0.000], [2.296, 1.326, 3.750]],
  "species": ["Ir", "Mn", "Pt", "Lu"],
  "fractional_positions": [[0.250, 0.250, 0.250], [0.500, 0.500, 0.500], [0.750, 0.750, 0.750], [0.000, 0.000, 0.000]],
  "formation_energy_kj_per_mol_atoms": -59.8
}


{
  "formula": "LuMnIrRh",
  "functional": "PBE",
  "state": "optimized geometry",
  "lattice_angstrom": [[-1.524, 2.029, 3.759], [-4.375, 1.144, 0.345], [-2.715, -2.251, 2.851]],
  "species": ["Rh", "Ir", "Lu", "Mn"],
  "fractional_positions": [[0.500, 0.500, 0.500], [0.000, 0.000, 0.000], [0.750, 0.750, 0.750], [0.250, 0.250, 0.250]],
  "formation_energy_kj_per_mol_atoms": -50.7
}


{
  "formula": "LuScMnIr",
  "functional": "PBE",
  "state": "optimized geometry",
  "lattice_angstrom": [[-2.943, -2.536, 2.650], [-0.486, -4.612, -0.781], [1.704, -3.102, 3.097]],
  "species": ["Mn", "Lu", "Sc", "Ir"],
  "fractional_positions": [[0.500, 0.500, 0.500], [0.250, 0.250, 0.250], [0.750, 0.750, 0.750], [0.000, 0.000, 0.000]],
  "formation_energy_kj_per_mol_atoms": -41.8
}


{
  "formula": "TbLuMnIr",
  "functional": "PBE",
  "state": "optimized geometry",
  "lattice_angstrom": [[4.870, 0.000, 0.000], [2.435, 4.218, 0.000], [2.435, 1.406, 3.976]],
  "species": ["Tb", "Lu", "Mn", "Ir"],
  "fractional_positions": [[0.500, 0.500, 0.500], [0.000, 0.000, 0.000], [0.250, 0.250, 0.250], [0.750, 0.750, 0.750]],
  "formation_energy_kj_per_mol_atoms": -32.9
}


{
  "formula": "TmLuMnIr",
  "functional": "PBE",
  "state": "optimized geometry",
  "lattice_angstrom": [[-0.959, -4.535, -1.337], [2.916, -2.268, -3.103], [2.810, -3.611, 1.529]],
  "species": ["Lu", "Tm", "Ir", "Mn"],
  "fractional_positions": [[0.500, 0.500, 0.500], [0.000, 0.000, 0.000], [0.750, 0.750, 0.750], [0.250, 0.250, 0.250]],
  "formation_energy_kj_per_mol_atoms": -38.5
}


{
  "formula": "YLuMnIr",
  "functional": "PBE",
  "state": "optimized geometry",
  "lattice_angstrom": [[-0.523, -4.014, -2.710], [1.323, -4.335, 1.786], [-3.395, -3.296, 1.159]],
  "species": ["Ir", "Y", "Lu", "Mn"],
  "fractional_positions": [[0.000, 0.000, 0.000], [0.250, 0.250, 0.250], [0.750, 0.750, 0.750], [0.500, 0.500, 0.500]],
  "formation_energy_kj_per_mol_atoms": -33.1
}


{
  "formula": "LuPaMoIr",
  "functional": "PBE",
  "state": "optimized geometry",
  "lattice_angstrom": [[-2.147, 2.089, -3.813], [-1.320, -2.688, -3.813], [-4.698, -0.813, -0.884]],
  "species": ["Lu", "Ir", "Mo", "Pa"],
  "fractional_positions": [[0.750, 0.750, 0.750], [0.000, 0.000, 0.000], [0.500, 0.500, 0.500], [0.250, 0.250, 0.250]],
  "formation_energy_kj_per_mol_atoms": -33.5
}


{
  "formula": "Lu2IrN",
  "functional": "PBE",
  "state": "optimized geometry",
  "lattice_angstrom": [[-1.024, -0.470, -3.127], [1.793, -1.883, -2.070], [-3.323, -6.409, 0.286]],
  "species": ["N", "Ir", "Lu", "Lu"],
  "fractional_positions": [[0.000, 0.000, 0.000], [0.500, 0.500, 0.500], [0.733, 0.733, 0.802], [0.267, 0.267, 0.198]],
  "formation_energy_uncorrected_ev_per_atom": -1.089
}


{
  "formula": "Lu12Ir3N5",
  "functional": "PBE",
  "state": "optimized geometry",
  "lattice_angstrom": [[12.826, 0.000, 0.000], [-4.275, 12.092, 0.000], [-4.275, -6.046, 10.472]],
  "species": ["Lu", "Lu", "Lu", "Lu", "Lu", "Lu", "Lu", "Lu", "Lu", "Lu", "Lu", "Lu", "Lu", "Lu", "Lu", "Lu", "Lu", "Lu", "Lu", "Lu", "Lu", "Lu", "Lu", "Lu", "Lu", "Lu", "Lu", "Lu", "Lu", "Lu", "Lu", "Lu", "Lu", "Lu", "Lu", "Lu", "Lu", "Lu", "Lu", "Lu", "Lu", "Lu", "Lu", "Lu", "Lu", "Lu", "Lu", "Lu", "N", "N", "N", "N", "N", "N", "N", "N", "N", "N", "N", "N", "N", "N", "N", "N", "N", "N", "N", "N", "Ir", "Ir", "Ir", "Ir", "Ir", "Ir", "Ir", "Ir", "Ir", "Ir", "Ir", "Ir"],
  "fractional_positions": [[0.706, 0.122, 0.024], [0.794, 0.476, 0.378], [0.916, 0.818, 0.794], [0.818, 0.916, 0.294], [0.584, 0.706, 0.682], [0.098, 0.916, 0.122], [0.976, 0.378, 0.294], [0.378, 0.402, 0.084], [0.794, 0.318, 0.916], [0.182, 0.098, 0.976], [0.706, 0.584, 0.182], [0.682, 0.206, 0.584], [0.122, 0.416, 0.098], [0.084, 0.182, 0.206], [0.598, 0.976, 0.682], [0.402, 0.024, 0.318], [0.622, 0.598, 0.916], [0.318, 0.794, 0.416], [0.916, 0.098, 0.622], [0.416, 0.122, 0.598], [0.416, 0.294, 0.318], [0.206, 0.524, 0.622], [0.878, 0.294, 0.476], [0.122, 0.706, 0.524], [0.024, 0.402, 0.818], [0.682, 0.476, 0.598], [0.098, 0.182, 0.476], [0.378, 0.976, 0.794], [0.024, 0.622, 0.706], [0.402, 0.378, 0.584], [0.476, 0.794, 0.878], [0.976, 0.598, 0.182], [0.902, 0.818, 0.524], [0.318, 0.524, 0.402], [0.818, 0.902, 0.024], [0.902, 0.084, 0.878], [0.182, 0.084, 0.706], [0.294, 0.878, 0.976], [0.524, 0.318, 0.902], [0.294, 0.416, 0.818], [0.084, 0.902, 0.378], [0.878, 0.584, 0.902], [0.524, 0.206, 0.122], [0.598, 0.622, 0.416], [0.476, 0.682, 0.098], [0.622, 0.024, 0.206], [0.206, 0.682, 0.084], [0.584, 0.878, 0.402], [0.625, 0.750, 0.875], [0.500, 0.000, 0.500], [0.250, 0.375, 0.625], [0.125, 0.750, 0.375], [0.625, 0.875, 0.250], [0.375, 0.250, 0.125], [0.875, 0.250, 0.625], [0.000, 0.000, 0.500], [0.500, 0.500, 0.500], [0.750, 0.125, 0.875], [0.125, 0.375, 0.250], [0.000, 0.500, 0.000], [0.250, 0.875, 0.125], [0.000, 0.500, 0.500], [0.875, 0.625, 0.750], [0.500, 0.000, 0.000], [0.750, 0.625, 0.375], [0.000, 0.000, 0.000], [0.500, 0.500, 0.000], [0.375, 0.125, 0.750], [0.750, 0.875, 0.625], [0.125, 0.250, 0.875], [0.375, 0.750, 0.625], [0.125, 0.875, 0.750], [0.875, 0.750, 0.125], [0.750, 0.375, 0.125], [0.625, 0.375, 0.750], [0.625, 0.250, 0.375], [0.875, 0.125, 0.250], [0.250, 0.125, 0.375], [0.250, 0.625, 0.875], [0.375, 0.625, 0.250]],
  "formation_energy_uncorrected_ev_per_atom": -1.115
}


{
  "formula": "NaLuIr4",
  "functional": "PBE",
  "state": "optimized geometry",
  "lattice_angstrom": [[5.286, 0.000, 0.000], [2.643, 4.577, 0.000], [2.643, 1.526, 4.316]],
  "species": ["Ir", "Ir", "Ir", "Ir", "Lu", "Na"],
  "fractional_positions": [[0.625, 0.625, 0.625], [0.625, 0.625, 0.125], [0.125, 0.625, 0.625], [0.625, 0.125, 0.625], [0.250, 0.250, 0.250], [0.000, 0.000, 0.000]],
  "formation_energy_kj_per_mol_atoms": -34.9
}


{
  "formula": "LuNbIr2",
  "functional": "PBE",
  "state": "optimized geometry",
  "lattice_angstrom": [[-0.969, 2.722, 1.006], [-2.681, -0.434, -1.409], [-2.713, -3.242, 6.161]],
  "species": ["Ir", "Ir", "Lu", "Nb"],
  "fractional_positions": [[0.000, 0.000, 0.766], [0.000, 0.000, 0.234], [0.500, 0.500, 0.500], [0.500, 0.500, 0.000]],
  "polymorph_energy_kj_per_mol_atoms": 0.0,
  "formation_energy_kj_per_mol_atoms": -61.0
}


{
  "formula": "LuNbIr2",
  "functional": "PBE",
  "state": "optimized geometry",
  "lattice_angstrom": [[4.558, 0.000, 0.000], [2.279, 3.948, 0.000], [2.279, 1.316, 3.983]],
  "species": ["Nb", "Ir", "Ir", "Lu"],
  "fractional_positions": [[0.500, 0.500, 0.500], [0.764, 0.764, 0.707], [0.236, 0.236, 0.293], [0.000, 0.000, 0.000]],
  "polymorph_energy_kj_per_mol_atoms": 8.9,
  "formation_energy_kj_per_mol_atoms": -52.1
}


| no. | calculated volume (Å³/cell) | mass density (Mg/m³) |
| --- | --- | --- |
| 1 | 60.9 | 10.7 |
| 2 | 91.8 | 9.7 |
| 3 | 70.8 | 11.7 |
| 4 | 70.4 | 13.8 |
| 5 | 68.2 | 12.0 |
| 6 | 67.9 | 12.0 |
| 7 | 79.6 | 9.1 |
| 8 | 76.0 | 11.1 |
| 9 | 87.3 | 9.1 |
| 10 | 72.4 | 10.5 |
| 11 | 80.4 | 10.0 |
| 12 | 66.3 | 15.4 |
| 13 | 78.3 | 13.9 |
| 14 | 68.5 | 12.8 |
| 15 | 68.5 | 15.0 |
| 16 | 66.0 | 13.2 |
| 17 | 73.5 | 10.5 |
| 18 | 81.7 | 11.8 |
| 19 | 79.4 | 12.4 |
| 20 | 81.7 | 10.4 |
| 21 | 80.6 | 14.3 |
| 22 | 66.6 | 13.9 |
| 23 | 1624.2 | 11.2 |
| 24 | 104.4 | 15.4 |
| 25 | 70.0 | 15.5 |
| 26 | 71.7 | 15.1 |